No. 1
DFT (PBE) results for Hf3HIr after structural relaxation.

extended XYZ file:
```
20
Lattice="5.341 -6.954 0.000 5.341 6.954 0.000 0.000 0.000 4.625" Properties=species:S:1:pos:R:3 pbc="T T T"
Hf 3.720 4.641 2.366
Hf 1.520 0.000 0.000
Hf 3.720 2.314 0.053
Hf 6.961 4.641 2.366
Hf 3.820 0.000 2.313
Hf 6.961 2.314 0.053
Hf 3.720 -2.314 4.573
Hf 6.861 0.000 2.313
Hf 3.720 -4.641 2.260
Hf 6.961 -2.314 4.573
Hf 9.161 0.000 0.000
Hf 6.961 -4.641 2.260
H 2.670 1.101 3.469
H 2.670 -1.101 1.156
H 8.011 1.101 3.469
H 8.011 -1.101 1.156
Ir 5.341 4.622 0.006
Ir 5.341 2.333 2.319
Ir 5.341 -2.333 2.307
Ir 5.341 -4.622 4.619
```

## Properties
symmetry	Cmce
polymorph energy (0 for the lowest one)	0	meV per atom
crystal system	orthorhombic
ρ	14.09	g cm⁻³
M_tot	0.000	μB/atom

---

No. 2
DFT (PBE) results for LiHf2HIr after structural relaxation.

extended XYZ file:
```
5
Lattice="4.504 0.000 0.000 0.000 4.504 0.000 0.000 0.000 3.481" Properties=species:S:1:pos:R:3 pbc="T T T"
Li 0.000 0.000 0.000
Hf 0.000 2.252 1.740
Hf 2.252 0.000 1.740
H 0.000 0.000 1.740
Ir 2.252 2.252 0.000
```

## Properties
symmetry	P4/mmm
crystal system	tetragonal
ρ	13.10	g cm⁻³
M_tot	0.000	μB/atom
VASP energy	-0.26771	hartree per atom

---

No. 3
DFT (PBE) results for Li2HfHIr after structural relaxation.

extended XYZ file:
```
5
Lattice="3.751 0.000 0.000 0.000 3.751 0.000 0.000 0.000 4.597" Properties=species:S:1:pos:R:3 pbc="T T T"
Li 0.000 1.875 0.000
Li 1.875 0.000 0.000
Hf 0.000 0.000 2.298
H 0.000 0.000 0.000
Ir 1.875 1.875 2.298
```

## Properties
symmetry	P4/mmm
crystal system	tetragonal
ρ	9.90	g cm⁻³
M_tot	0.000	μB/atom
VASP energy	-0.20566	hartree per atom

---

No. 4
DFT (PBE) results for LiHfH2Ir after structural relaxation.

extended XYZ file:
```
5
Lattice="3.623 0.000 0.000 0.000 3.623 0.000 0.000 0.000 5.800" Properties=species:S:1:pos:R:3 pbc="T T T"
Li 0.000 0.000 0.000
Hf 0.000 0.000 2.900
H 0.000 1.811 0.000
H 1.811 0.000 0.000
Ir 1.811 1.811 2.900
```

## Properties
symmetry	P4/mmm
crystal system	tetragonal
ρ	8.28	g cm⁻³
M_tot	0.000	μB/atom
VASP energy	-0.17749	hartree per atom

---

No. 5
DFT (PBE) results for LiHfHIr2 after structural relaxation.

extended XYZ file:
```
5
Lattice="4.114 0.000 0.000 0.000 4.114 0.000 0.000 0.000 3.700" Properties=species:S:1:pos:R:3 pbc="T T T"
Li 0.000 0.000 0.000
Hf 2.057 2.057 0.000
H 0.000 0.000 1.850
Ir 0.000 2.057 1.850
Ir 2.057 0.000 1.850
```

## Properties
symmetry	P4/mmm
crystal system	tetragonal
ρ	15.14	g cm⁻³
M_tot	0.000	μB/atom
VASP energy	-0.26226	hartree per atom

---

No. 6
DFT (PBE) results for HfMgH8Ir2 after structural relaxation.

extended XYZ file:
```
12
Lattice="4.165 -2.166 0.000 4.165 2.166 0.000 -1.928 0.000 5.270" Properties=species:S:1:pos:R:3 pbc="T T T"
Hf 0.000 0.000 0.000
Mg 3.201 0.000 2.635
H 2.643 1.064 0.904
H 1.086 0.000 1.817
H 3.760 1.064 4.365
H 1.753 0.000 4.490
H 4.650 0.000 0.780
H 2.643 -1.064 0.904
H 5.316 0.000 3.453
H 3.760 -1.064 4.365
Ir 0.409 0.000 3.401
Ir 5.994 0.000 1.869
```

## Properties
symmetry	C2/m
crystal system	monoclinic
ρ	10.39	g cm⁻³
M_tot	0.000	μB/atom
VASP energy	-0.17552	hartree per atom

---

No. 7
DFT (PBE) results for HfMg2HIr after structural relaxation.

extended XYZ file:
```
5
Lattice="5.017 0.000 0.000 0.000 5.017 0.000 0.000 0.000 4.923" Properties=species:S:1:pos:R:3 pbc="T T T"
Hf 0.000 0.000 0.000
Mg 0.000 2.508 2.461
Mg 2.508 0.000 2.461
H 2.508 2.508 0.000
Ir 0.000 0.000 2.461
```

## Properties
symmetry	P4/mmm
crystal system	tetragonal
ρ	5.63	g cm⁻³
M_tot	0.000	μB/atom
VASP energy	-0.16909	hartree per atom

---

No. 8
DFT (PBE) results for HfMgHIr2 after structural relaxation.

extended XYZ file:
```
5
Lattice="4.204 0.000 0.000 0.000 4.204 0.000 0.000 0.000 3.821" Properties=species:S:1:pos:R:3 pbc="T T T"
Hf 0.000 0.000 0.000
Mg 2.102 2.102 0.000
H 2.102 2.102 1.910
Ir 0.000 2.102 1.910
Ir 2.102 0.000 1.910
```

## Properties
symmetry	P4/mmm
crystal system	tetragonal
ρ	14.46	g cm⁻³
M_tot	0.000	μB/atom
VASP energy	-0.25591	hartree per atom

---

Calculated volume values (in Å³ per cell) by entry order: 344 71 65 76 63 95 124 68.